Record 1
SrSi3Br after structural relaxation, computed with PBEsol.

The value obtained for the total energy is -17.44 eV per formula unit.

The space group is Pm-3m (No. 221) and the conventional cell measures 5.032, 5.032 and 5.032 Å, with angles of 90.00, 90.00 and 90.00 degrees. The distinct sites, in fractional coordinates, are Sr at (0.000, 0.000, 0.000), Si at (0.000, 0.500, 0.500) and Br at (0.500, 0.500, 0.500).

Record 2
SrSiBr4 after structural relaxation, computed with PBEsol.

The value obtained for the total energy is -14.86 eV per formula unit.

The space group is F-43m (No. 216) and the conventional cell measures 8.803, 8.803 and 8.803 Å, with angles of 90.00, 90.00 and 90.00 degrees. The distinct sites, in fractional coordinates, are Sr at (0.000, 0.000, 0.000), Si at (0.250, 0.250, 0.250) and Br at (0.125, 0.125, 0.625).

Record 3
SrSiBr2 after structural relaxation, computed with PBEsol.

The value obtained for the total energy is -14.22 eV per formula unit. The calculation puts the polymorph energy (0 for the lowest one) at 0 meV/atom.

The space group is Pmmm (No. 47) and the conventional cell measures 3.879, 4.508 and 5.995 Å, with angles of 90.00, 90.00 and 90.00 degrees. The distinct sites, in fractional coordinates, are Sr at (0.000, 0.000, 0.000), Si at (0.500, 0.000, 0.500), Br at (0.000, 0.500, 0.500) and Br at (0.500, 0.500, 0.000).

Record 4
SrSi4Br after structural relaxation, computed with PBEsol.

The value obtained for the total energy is -27.13 eV per formula unit.

The space group is F-43m (No. 216) and the conventional cell measures 7.656, 7.656 and 7.656 Å, with angles of 90.00, 90.00 and 90.00 degrees. The distinct sites, in fractional coordinates, are Sr at (0.000, 0.000, 0.000), Si at (0.124, 0.124, 0.376) and Br at (0.250, 0.250, 0.750).

Number 1: E_form (uncorrected) 0.702 eV/atom. Number 2: E_form (uncorrected) 0.035 eV/atom. Number 3: E_form (uncorrected) -0.722 eV/atom. Number 4: E_form (uncorrected) -0.071 eV/atom.